Density functional theory data (PBE with a Hubbard U) for a relaxed structure of Y2AlCoF.

DOS at the Fermi energy (states/eV per cell): 4.96
Calculated total energy (eV per cell): -24.02

Cell: 5.7754 3.7849 5.7754 Å, 90.00 90.00 90.00°
Positions (direct):
Y1 0.0000 0.0000 0.5000
Y2 0.5000 0.0000 0.0000
Co1 0.5000 0.5000 0.5000
Al1 0.0000 0.0000 0.0000
F1 0.0000 0.5000 0.0000